No. 1
{"formula": "NdMg2ZnPd4", "functional": "PBE", "state": "relaxed", "cell": [[-3.235, 2.830, -1.380], [-3.108, -1.396, -2.962], [-6.911, -1.985, 4.746]], "species": ["Mg", "Mg", "Pd", "Pd", "Pd", "Pd", "Zn", "Nd"], "fractional_positions": [[0.239, 0.239, 0.284], [0.761, 0.761, 0.716], [0.604, 0.604, 0.189], [0.128, 0.128, 0.615], [0.872, 0.872, 0.385], [0.396, 0.396, 0.811], [0.500, 0.500, 0.500], [0.000, 0.000, 0.000]], "dos_ef_per_ev_atom": 0.3805, "mass_density_g_cm3": 7.84, "total_magnetization_mub_per_fu": 0.000, "ef_mev_per_atom": -656, "crystal_system": "trigonal", "dft_energy_ev_per_cell": -35.248}

No. 2
{"formula": "Nd2MgZn2Pd5", "functional": "PBE", "state": "relaxed", "cell": [[3.802, 0.000, 0.000], [0.000, 9.935, 0.000], [0.000, 0.000, 9.935]], "species": ["Pd", "Pd", "Pd", "Pd", "Pd", "Pd", "Pd", "Pd", "Pd", "Pd", "Zn", "Zn", "Zn", "Zn", "Nd", "Nd", "Nd", "Nd", "Mg", "Mg"], "fractional_positions": [[0.500, 0.707, 0.435], [0.500, 0.000, 0.500], [0.500, 0.935, 0.207], [0.500, 0.207, 0.065], [0.500, 0.793, 0.935], [0.500, 0.293, 0.565], [0.500, 0.500, 0.000], [0.500, 0.435, 0.293], [0.500, 0.065, 0.793], [0.500, 0.565, 0.707], [0.000, 0.880, 0.380], [0.000, 0.120, 0.620], [0.000, 0.620, 0.880], [0.000, 0.380, 0.120], [0.000, 0.178, 0.322], [0.000, 0.322, 0.822], [0.000, 0.822, 0.678], [0.000, 0.678, 0.178], [0.000, 0.000, 0.000], [0.000, 0.500, 0.500]], "dos_ef_per_ev_atom": 0.4422, "mass_density_g_cm3": 8.64, "total_magnetization_mub_per_fu": 0.000, "ef_mev_per_atom": -657, "crystal_system": "tetragonal", "dft_energy_ev_per_cell": -92.422}

No. 3
{"formula": "Nd2MgZn3Pd4", "functional": "PBE", "state": "relaxed", "cell": [[4.203, 0.000, 0.000], [0.000, 4.203, 0.000], [0.000, 0.000, 11.114]], "species": ["Zn", "Zn", "Zn", "Pd", "Pd", "Pd", "Pd", "Nd", "Nd", "Mg"], "fractional_positions": [[0.500, 0.000, 0.870], [0.000, 0.500, 0.130], [0.000, 0.000, 0.500], [0.500, 0.000, 0.644], [0.000, 0.000, 0.000], [0.000, 0.500, 0.356], [0.500, 0.500, 0.000], [0.000, 0.500, 0.763], [0.500, 0.000, 0.237], [0.500, 0.500, 0.500]], "dos_ef_per_ev_atom": 0.6594, "mass_density_g_cm3": 7.90, "total_magnetization_mub_per_fu": 0.000, "ef_mev_per_atom": -617, "crystal_system": "tetragonal", "dft_energy_ev_per_cell": -41.893}

Repeat the first record exactly.
{"formula": "NdMg2ZnPd4", "functional": "PBE", "state": "relaxed", "cell": [[-3.235, 2.830, -1.380], [-3.108, -1.396, -2.962], [-6.911, -1.985, 4.746]], "species": ["Mg", "Mg", "Pd", "Pd", "Pd", "Pd", "Zn", "Nd"], "fractional_positions": [[0.239, 0.239, 0.284], [0.761, 0.761, 0.716], [0.604, 0.604, 0.189], [0.128, 0.128, 0.615], [0.872, 0.872, 0.385], [0.396, 0.396, 0.811], [0.500, 0.500, 0.500], [0.000, 0.000, 0.000]], "dos_ef_per_ev_atom": 0.3805, "mass_density_g_cm3": 7.84, "total_magnetization_mub_per_fu": 0.000, "ef_mev_per_atom": -656, "crystal_system": "trigonal", "dft_energy_ev_per_cell": -35.248}